# TiV3Sn2P6O24

A geometry-optimized TiV3Sn2P6O24 structure (PBE+U, Alexandria).

```
data_TiV3Sn2P6O24
_cell_length_a 9.114
_cell_length_b 9.114
_cell_length_c 9.114
_cell_angle_alpha 56.31
_cell_angle_beta 56.31
_cell_angle_gamma 56.31
_space_group_name_H-M_alt 'P 1'
_space_group_IT_number 1
loop_
_space_group_symop_operation_xyz
'x,y,z'
loop_
_atom_site_label
_atom_site_type_symbol
_atom_site_fract_x
_atom_site_fract_y
_atom_site_fract_z
_atom_site_occupancy
Ti1 Ti 0.000 0.000 0.000 1
V1 V 0.298 0.298 0.298 1
V2 V 0.495 0.495 0.495 1
V3 V 0.792 0.792 0.792 1
Sn1 Sn 0.160 0.160 0.160 1
Sn2 Sn 0.635 0.635 0.635 1
P1 P 0.107 0.684 0.397 1
P2 P 0.179 0.612 0.896 1
P3 P 0.397 0.107 0.684 1
P4 P 0.612 0.896 0.179 1
P5 P 0.684 0.397 0.107 1
P6 P 0.896 0.179 0.612 1
O1 O 0.017 0.637 0.863 1
O2 O 0.072 0.205 0.427 1
O3 O 0.075 0.859 0.219 1
O4 O 0.128 0.511 0.385 1
O5 O 0.147 0.776 0.930 1
O6 O 0.205 0.427 0.072 1
O7 O 0.219 0.075 0.859 1
O8 O 0.279 0.664 0.410 1
O9 O 0.365 0.587 0.721 1
O10 O 0.385 0.128 0.511 1
O11 O 0.410 0.279 0.664 1
O12 O 0.427 0.072 0.205 1
O13 O 0.511 0.385 0.128 1
O14 O 0.570 0.928 0.720 1
O15 O 0.587 0.721 0.365 1
O16 O 0.637 0.863 0.017 1
O17 O 0.664 0.410 0.279 1
O18 O 0.720 0.570 0.928 1
O19 O 0.721 0.365 0.587 1
O20 O 0.776 0.930 0.147 1
O21 O 0.859 0.219 0.075 1
O22 O 0.863 0.017 0.637 1
O23 O 0.928 0.720 0.570 1
O24 O 0.930 0.147 0.776 1
```

Calculated values
Its total DFT energy (no corrections) is -7.438 eV per atom. The total magnetization comes out at 5.00 Bohr magnetons per cell.